Below is BaPrMg4Pt2 after structural relaxation, with properties calculated at the GGA-PBE level.

The total energy comes out at -29.86 eV per formula unit. The crystal system is orthorhombic.

It has space group Amm2 (No. 38), with a = 8.2646 Å, b = 4.3090 Å, c = 11.0331 Å, α = 90.00°, β = 90.00° and γ = 90.00°. Symmetry generates all atoms from Ba at (0.0000, 0.0000, 0.0000), Pr at (0.5000, 0.0000, 0.1190), Mg at (0.1974, 0.0000, 0.7183), Mg at (0.3117, 0.0000, 0.3989), Pt at (0.0000, 0.0000, 0.2818) and Pt at (0.5000, 0.0000, 0.8291).

Below is BaPrMgSb2 after structural relaxation, with properties calculated at the GGA-PBE level.

The total energy comes out at -20.93 eV per formula unit. The crystal system is orthorhombic.

It has space group Cmc2_1 (No. 36), with a = 4.9297 Å, b = 18.8093 Å, c = 7.3276 Å, α = 90.00°, β = 90.00° and γ = 90.00°. Symmetry generates all atoms from Ba at (0.0000, 0.1994, 0.0000), Pr at (0.0000, 0.0129, 0.7213), Mg at (0.0000, 0.4053, 0.8963), Sb at (0.0000, 0.1609, 0.4875) and Sb at (0.0000, 0.4378, 0.4983).

Below is BaPrMgTe3 after structural relaxation, with properties calculated at the GGA-PBE level.

The total energy comes out at -25.33 eV per formula unit. The crystal system is orthorhombic.

It has space group Cmcm (No. 63), with a = 4.5191 Å, b = 15.7189 Å, c = 11.9314 Å, α = 90.00°, β = 90.00° and γ = 90.00°. Symmetry generates all atoms from Ba at (0.0000, 0.2465, 0.2500), Pr at (0.0000, 0.0000, 0.0000), Mg at (0.0000, 0.4674, 0.7500), Te at (0.0000, 0.0771, 0.7500) and Te at (0.0000, 0.3570, 0.5652).

Below is Ba2MgPtS6 after structural relaxation, with properties calculated at the GGA-PBE level.

The total energy comes out at -45.78 eV per formula unit. The crystal system is tetragonal.

It has space group I4/m (No. 87), with a = 6.9175 Å, b = 6.9175 Å, c = 9.7885 Å, α = 90.00°, β = 90.00° and γ = 90.00°. Symmetry generates all atoms from Ba at (0.0000, 0.5000, 0.2500), Mg at (0.0000, 0.0000, 0.0000), Pt at (0.0000, 0.0000, 0.5000), S at (0.0000, 0.0000, 0.2569) and S at (0.2375, 0.2489, 0.5000).

Below is Ba2MgPtS6 after structural relaxation, with properties calculated at the GGA-PBE level.

The total energy comes out at -45.78 eV per formula unit. The crystal system is cubic.

It has space group Fm-3m (No. 225), with a = 9.7842 Å, b = 9.7842 Å, c = 9.7842 Å, α = 90.00°, β = 90.00° and γ = 90.00°. Symmetry generates all atoms from Ba at (0.2500, 0.2500, 0.2500), Mg at (0.0000, 0.0000, 0.0000), Pt at (0.0000, 0.0000, 0.5000) and S at (0.0000, 0.0000, 0.2569).

Below is Ba2MgSn3Pt2 after structural relaxation, with properties calculated at the GGA-PBE level.

The total energy comes out at -35.31 eV per formula unit. The crystal system is monoclinic.

It has space group Cm (No. 8), with a = 12.2441 Å, b = 4.5153 Å, c = 7.7874 Å, α = 90.00°, β = 90.55° and γ = 90.00°. Symmetry generates all atoms from Ba at (0.0000, 0.0000, 0.0000), Ba at (0.1095, 0.0000, 0.4963), Mg at (0.2357, 0.5000, 0.1904), Sn at (0.2111, 0.5000, 0.8074), Sn at (0.3911, 0.0000, 0.3039), Sn at (0.3951, 0.0000, 0.6967), Pt at (0.2710, 0.0000, 0.9976) and Pt at (0.3331, 0.5000, 0.5057).

Below is BaMgSnPt after structural relaxation, with properties calculated at the GGA-PBE level.

The total energy comes out at -14.70 eV per formula unit. The distance to the lowest polymorph of the same formula is 0 meV per atom. The crystal system is cubic.

It has space group F-43m (No. 216), with a = 7.3573 Å, b = 7.3573 Å, c = 7.3573 Å, α = 90.00°, β = 90.00° and γ = 90.00°. Symmetry generates all atoms from Ba at (0.0000, 0.0000, 0.0000), Mg at (0.2500, 0.2500, 0.7500), Sn at (0.0000, 0.0000, 0.5000) and Pt at (0.2500, 0.2500, 0.2500).

Below is BaMgSnPt after structural relaxation, with properties calculated at the GGA-PBE level.

The total energy comes out at -14.55 eV per formula unit. The distance to the lowest polymorph of the same formula is 37 meV per atom. The crystal system is cubic.

It has space group F-43m (No. 216), with a = 7.4869 Å, b = 7.4869 Å, c = 7.4869 Å, α = 90.00°, β = 90.00° and γ = 90.00°. Symmetry generates all atoms from Ba at (0.0000, 0.0000, 0.0000), Mg at (0.0000, 0.0000, 0.5000), Sn at (0.2500, 0.2500, 0.2500) and Pt at (0.2500, 0.2500, 0.7500).

Below is BaMgSnPt after structural relaxation, with properties calculated at the GGA-PBE level.

The total energy comes out at -14.62 eV per formula unit. The distance to the lowest polymorph of the same formula is 22 meV per atom. The crystal system is cubic.

It has space group F-43m (No. 216), with a = 7.3113 Å, b = 7.3113 Å, c = 7.3113 Å, α = 90.00°, β = 90.00° and γ = 90.00°. Symmetry generates all atoms from Ba at (0.0000, 0.0000, 0.0000), Mg at (0.2500, 0.2500, 0.2500), Sn at (0.2500, 0.2500, 0.7500) and Pt at (0.0000, 0.0000, 0.5000).

Below is BaMg2TlPt after structural relaxation, with properties calculated at the GGA-PBE level.

The total energy comes out at -15.82 eV per formula unit. The crystal system is tetragonal.

It has space group I4mm (No. 107), with a = 4.5724 Å, b = 4.5724 Å, c = 12.9184 Å, α = 90.00°, β = 90.00° and γ = 90.00°. Symmetry generates all atoms from Ba at (0.0000, 0.0000, 0.0000), Mg at (0.0000, 0.5000, 0.2250), Tl at (0.0000, 0.0000, 0.3818) and Pt at (0.0000, 0.0000, 0.6117).

Below is BaMg2ZnPt after structural relaxation, with properties calculated at the GGA-PBE level.

The total energy comes out at -14.72 eV per formula unit. The crystal system is tetragonal.

It has space group I4mm (No. 107), with a = 4.5101 Å, b = 4.5101 Å, c = 12.1351 Å, α = 90.00°, β = 90.00° and γ = 90.00°. Symmetry generates all atoms from Ba at (0.0000, 0.0000, 0.0000), Mg at (0.0000, 0.5000, 0.2616), Zn at (0.0000, 0.0000, 0.6067) and Pt at (0.0000, 0.0000, 0.3888).

Below is BaMgZrPt after structural relaxation, with properties calculated at the GGA-PBE level.

The total energy comes out at -17.16 eV per formula unit. The distance to the lowest polymorph of the same formula is 238 meV per atom. The crystal system is cubic.

It has space group F-43m (No. 216), with a = 7.2067 Å, b = 7.2067 Å, c = 7.2067 Å, α = 90.00°, β = 90.00° and γ = 90.00°. Symmetry generates all atoms from Ba at (0.0000, 0.0000, 0.0000), Mg at (0.0000, 0.0000, 0.5000), Zr at (0.2500, 0.2500, 0.2500) and Pt at (0.2500, 0.2500, 0.7500).

Below is BaMgZrPt after structural relaxation, with properties calculated at the GGA-PBE level.

The total energy comes out at -17.74 eV per formula unit. The distance to the lowest polymorph of the same formula is 92 meV per atom. The crystal system is cubic.

It has space group F-43m (No. 216), with a = 7.4056 Å, b = 7.4056 Å, c = 7.4056 Å, α = 90.00°, β = 90.00° and γ = 90.00°. Symmetry generates all atoms from Ba at (0.0000, 0.0000, 0.0000), Mg at (0.2500, 0.2500, 0.7500), Zr at (0.0000, 0.0000, 0.5000) and Pt at (0.2500, 0.2500, 0.2500).

Below is BaMgZrPt after structural relaxation, with properties calculated at the GGA-PBE level.

The total energy comes out at -18.11 eV per formula unit. The distance to the lowest polymorph of the same formula is 0 meV per atom. The crystal system is cubic.

It has space group F-43m (No. 216), with a = 7.1190 Å, b = 7.1190 Å, c = 7.1190 Å, α = 90.00°, β = 90.00° and γ = 90.00°. Symmetry generates all atoms from Ba at (0.0000, 0.0000, 0.0000), Mg at (0.2500, 0.2500, 0.2500), Zr at (0.2500, 0.2500, 0.7500) and Pt at (0.0000, 0.0000, 0.5000).

Below is BaTbMgS3 after structural relaxation, with properties calculated at the GGA-PBE level.

The total energy comes out at -30.67 eV per formula unit. The crystal system is orthorhombic.

It has space group Cmcm (No. 63), with a = 4.0653 Å, b = 14.0384 Å, c = 10.5428 Å, α = 90.00°, β = 90.00° and γ = 90.00°. Symmetry generates all atoms from Ba at (0.0000, 0.2454, 0.2500), Tb at (0.0000, 0.5000, 0.0000), Mg at (0.0000, 0.0315, 0.7500), S at (0.0000, 0.1329, 0.5664) and S at (0.0000, 0.4332, 0.7500).

Below is BaTmMgS3 after structural relaxation, with properties calculated at the GGA-PBE level.

The total energy comes out at -30.40 eV per formula unit. The crystal system is orthorhombic.

It has space group Cmcm (No. 63), with a = 4.0356 Å, b = 14.0280 Å, c = 10.3648 Å, α = 90.00°, β = 90.00° and γ = 90.00°. Symmetry generates all atoms from Ba at (0.0000, 0.2450, 0.2500), Tm at (0.0000, 0.5000, 0.0000), Mg at (0.0000, 0.0312, 0.7500), S at (0.0000, 0.1299, 0.5610) and S at (0.0000, 0.4334, 0.7500).

Below is BaTmMgSb2 after structural relaxation, with properties calculated at the GGA-PBE level.

The total energy comes out at -20.13 eV per formula unit. The distance to the lowest polymorph of the same formula is 40 meV per atom. The crystal system is trigonal.

It has space group P3m1 (No. 156), with a = 4.8832 Å, b = 4.8832 Å, c = 8.3724 Å, α = 90.00°, β = 90.00° and γ = 120.00°. Symmetry generates all atoms from Ba at (0.0000, 0.0000, 0.0000), Tm at (0.6667, 0.3333, 0.3849), Mg at (0.3333, 0.6667, 0.6361), Sb at (0.3333, 0.6667, 0.2664) and Sb at (0.6667, 0.3333, 0.7364).

Below is BaTmMgSb2 after structural relaxation, with properties calculated at the GGA-PBE level.

The total energy comes out at -20.33 eV per formula unit. The distance to the lowest polymorph of the same formula is 0 meV per atom. The crystal system is orthorhombic.

It has space group Cmc2_1 (No. 36), with a = 4.7779 Å, b = 18.8078 Å, c = 7.1336 Å, α = 90.00°, β = 90.00° and γ = 90.00°. Symmetry generates all atoms from Ba at (0.0000, 0.1965, 0.0000), Tm at (0.0000, 0.0171, 0.7086), Mg at (0.0000, 0.4039, 0.8872), Sb at (0.0000, 0.1617, 0.5019) and Sb at (0.0000, 0.4440, 0.4883).

Below is Ba2MgZnSb4 after structural relaxation, with properties calculated at the GGA-PBE level.

The total energy comes out at -28.59 eV per formula unit. The crystal system is tetragonal.

It has space group I-4m2 (No. 119), with a = 4.5283 Å, b = 4.5283 Å, c = 24.8189 Å, α = 90.00°, β = 90.00° and γ = 90.00°. Symmetry generates all atoms from Ba at (0.0000, 0.0000, 0.1129), Mg at (0.0000, 0.5000, 0.2500), Zn at (0.0000, 0.5000, 0.7500), Sb at (0.0000, 0.0000, 0.3195) and Sb at (0.0000, 0.5000, 0.9997).

Below is BaSmMgSe3 after structural relaxation, with properties calculated at the GGA-PBE level.

The total energy comes out at -28.19 eV per formula unit. The crystal system is orthorhombic.

It has space group Cmcm (No. 63), with a = 4.2422 Å, b = 14.5945 Å, c = 11.1005 Å, α = 90.00°, β = 90.00° and γ = 90.00°. Symmetry generates all atoms from Ba at (0.0000, 0.2481, 0.2500), Sm at (0.0000, 0.5000, 0.0000), Mg at (0.0000, 0.0324, 0.7500), Se at (0.0000, 0.1385, 0.5671) and Se at (0.0000, 0.4292, 0.7500).

Below is BaTbMgSe3 after structural relaxation, with properties calculated at the GGA-PBE level.

The total energy comes out at -28.04 eV per formula unit. The crystal system is orthorhombic.

It has space group Cmcm (No. 63), with a = 4.2238 Å, b = 14.5453 Å, c = 10.9063 Å, α = 90.00°, β = 90.00° and γ = 90.00°. Symmetry generates all atoms from Ba at (0.0000, 0.2490, 0.2500), Tb at (0.0000, 0.5000, 0.0000), Mg at (0.0000, 0.0319, 0.7500), Se at (0.0000, 0.1361, 0.5622) and Se at (0.0000, 0.4287, 0.7500).

Below is Ba2MgTcSe6 after structural relaxation, with properties calculated at the GGA-PBE level.

The total energy comes out at -46.11 eV per formula unit. The crystal system is triclinic.

It has space group P-1 (No. 2), with a = 7.2048 Å, b = 7.2073 Å, c = 7.2082 Å, α = 60.04°, β = 60.02° and γ = 60.03°. Symmetry generates all atoms from Ba at (0.2501, 0.2500, 0.2499), Mg at (0.0000, 0.0000, 0.0000), Tc at (0.5000, 0.5000, 0.5000), Se at (0.2495, 0.2588, 0.7488), Se at (0.2547, 0.7529, 0.7388) and Se at (0.2581, 0.7433, 0.2502).

Below is Ba2MgTcSe6 after structural relaxation, with properties calculated at the GGA-PBE level.

The total energy comes out at -46.11 eV per formula unit. The crystal system is cubic.

It has space group Fm-3m (No. 225), with a = 10.1947 Å, b = 10.1947 Å, c = 10.1947 Å, α = 90.00°, β = 90.00° and γ = 90.00°. Symmetry generates all atoms from Ba at (0.2500, 0.2500, 0.2500), Mg at (0.0000, 0.0000, 0.0000), Tc at (0.0000, 0.0000, 0.5000) and Se at (0.0000, 0.0000, 0.2542).

Below is Ba2MgTcSe6 after structural relaxation, with properties calculated at the GGA-PBE level.

The total energy comes out at -46.13 eV per formula unit. The crystal system is tetragonal.

It has space group I4/m (No. 87), with a = 7.2425 Å, b = 7.2425 Å, c = 10.2478 Å, α = 90.00°, β = 90.00° and γ = 90.00°. Symmetry generates all atoms from Ba at (0.0000, 0.5000, 0.2500), Mg at (0.0000, 0.0000, 0.0000), Tc at (0.0000, 0.0000, 0.5000), Se at (0.0000, 0.0000, 0.2547) and Se at (0.2394, 0.2513, 0.5000).